<P>
Computed, not measured: a geometry-optimized LiPrHg3 structure at the PBE level of DFT.

Its space-group type is Pm-3m, No. 221. Its total magnetization is 0.000 μB per atom.

Unit cell a=4.922 b=4.922 c=4.922 alpha=90.00 beta=90.00 gamma=90.00
Sites, in units of the cell vectors:
Li: 0.000 0.000 0.000
Pr: 0.500 0.500 0.500
Hg: 0.000 0.000 0.500
Hg: 0.000 0.500 0.000
Hg: 0.500 0.000 0.000

<Q>
Computed, not measured: a geometry-optimized LiPrHg3 structure at the PBE level of DFT.

Its space-group type is P6_3/mmc, No. 194. Its total magnetization is 0.000 μB per atom.

Unit cell a=6.984 b=6.984 c=5.557 alpha=90.00 beta=90.00 gamma=120.00
Sites, in units of the cell vectors:
Li: 0.000 0.000 0.000
Li: 0.000 0.000 0.500
Pr: 0.333 0.667 0.250
Pr: 0.667 0.333 0.750
Hg: 0.186 0.372 0.750
Hg: 0.186 0.814 0.750
Hg: 0.372 0.186 0.250
Hg: 0.628 0.814 0.750
Hg: 0.814 0.186 0.250
Hg: 0.814 0.628 0.250

Which of them is most stable, and which least? Most stable: <Q>; least stable: <P>.

<P>
Computed, not measured: a geometry-optimized LiPr2Hg structure at the PBE level of DFT.

Its space-group type is R3m, No. 160. Its total magnetization is 0.000 μB per atom.

Unit cell a=10.732 b=10.732 c=10.732 alpha=19.72 beta=19.72 gamma=19.72
Sites, in units of the cell vectors:
Li: 0.000 0.000 0.000
Pr: 0.579 0.579 0.579
Pr: 0.754 0.754 0.754
Hg: 0.166 0.166 0.166

<Q>
Computed, not measured: a geometry-optimized LiPr2Hg structure at the PBE level of DFT.

Its space-group type is P4/mmm, No. 123. Its total magnetization is 0.124 μB per atom.

Unit cell a=5.320 b=5.320 c=3.996 alpha=90.00 beta=90.00 gamma=90.00
Sites, in units of the cell vectors:
Li: 0.000 0.000 0.000
Pr: 0.000 0.500 0.500
Pr: 0.500 0.000 0.500
Hg: 0.500 0.500 0.000

Which of them is most stable, and which least? Most stable: <Q>; least stable: <P>.

<P>
Computed, not measured: a geometry-optimized LiPrHg2 structure at the PBE level of DFT.

Its space-group type is Fm-3m, No. 225. Its total magnetization is 0.000 μB per atom.

Unit cell a=5.176 b=5.176 c=5.176 alpha=60.00 beta=60.00 gamma=60.00
Sites, in units of the cell vectors:
Li: 0.000 0.000 0.000
Pr: 0.500 0.500 0.500
Hg: 0.250 0.250 0.250
Hg: 0.750 0.750 0.750

<Q>
Computed, not measured: a geometry-optimized LiPrHg2 structure at the PBE level of DFT.

Its space-group type is R3m, No. 160. Its total magnetization is 0.000 μB per atom.

Unit cell a=5.073 b=5.073 c=5.073 alpha=59.95 beta=59.95 gamma=59.95
Sites, in units of the cell vectors:
Li: 0.000 0.000 0.000
Pr: 0.250 0.250 0.250
Hg: 0.500 0.500 0.500
Hg: 0.749 0.749 0.749

<R>
Computed, not measured: a geometry-optimized LiPrHg2 structure at the PBE level of DFT.

Its space-group type is P4/mmm, No. 123. Its total magnetization is 0.046 μB per atom.

Unit cell a=3.530 b=3.530 c=7.556 alpha=90.00 beta=90.00 gamma=90.00
Sites, in units of the cell vectors:
Li: 0.000 0.000 0.000
Pr: 0.000 0.000 0.500
Hg: 0.500 0.500 0.207
Hg: 0.500 0.500 0.793

Which of them is most stable, and which least? Most stable: <P>; least stable: <Q>.

<P>
Computed, not measured: a geometry-optimized LiPr2Hg4 structure at the PBE level of DFT.

Its space-group type is I4/mmm, No. 139. Its total magnetization is 0.000 μB per atom.

Unit cell a=8.792 b=8.792 c=8.792 alpha=148.07 beta=148.07 gamma=45.79
Sites, in units of the cell vectors:
Li: 0.000 0.000 0.000
Pr: 0.360 0.360 0.000
Pr: 0.640 0.640 0.000
Hg: 0.000 0.500 0.500
Hg: 0.166 0.166 0.000
Hg: 0.500 0.000 0.500
Hg: 0.834 0.834 0.000

<Q>
Computed, not measured: a geometry-optimized LiPr2Hg4 structure at the PBE level of DFT.

Its space-group type is R-3m, No. 166. Its total magnetization is 0.000 μB per atom.

Unit cell a=9.188 b=9.188 c=9.188 alpha=32.11 beta=32.11 gamma=32.11
Sites, in units of the cell vectors:
Li: 0.000 0.000 0.000
Pr: 0.250 0.250 0.250
Pr: 0.750 0.750 0.750
Hg: 0.128 0.128 0.128
Hg: 0.371 0.371 0.371
Hg: 0.629 0.629 0.629
Hg: 0.872 0.872 0.872

Which of them is most stable, and which least? Most stable: <Q>; least stable: <P>.

<P>
Computed, not measured: a geometry-optimized LiPr2Hg3 structure at the PBE level of DFT.

Its space-group type is Fmmm, No. 69. Its total magnetization is 0.000 μB per atom.

Unit cell a=10.019 b=9.350 c=6.117 alpha=77.65 beta=65.74 gamma=36.61
Sites, in units of the cell vectors:
Li: 0.167 0.167 0.833
Li: 0.833 0.833 0.167
Pr: 0.250 0.250 0.250
Pr: 0.257 0.743 0.743
Pr: 0.743 0.257 0.257
Pr: 0.750 0.750 0.750
Hg: 0.150 0.676 0.324
Hg: 0.324 0.850 0.150
Hg: 0.326 0.326 0.674
Hg: 0.674 0.674 0.326
Hg: 0.676 0.150 0.850
Hg: 0.850 0.324 0.676

<Q>
Computed, not measured: a geometry-optimized LiPr2Hg3 structure at the PBE level of DFT.

Its space-group type is P-3m1, No. 164. Its total magnetization is 0.000 μB per atom.

Unit cell a=5.278 b=5.278 c=13.071 alpha=90.00 beta=90.00 gamma=120.00
Sites, in units of the cell vectors:
Li: 0.333 0.667 0.163
Li: 0.667 0.333 0.837
Pr: 0.000 0.000 0.000
Pr: 0.000 0.000 0.500
Pr: 0.333 0.667 0.684
Pr: 0.667 0.333 0.316
Hg: 0.000 0.000 0.242
Hg: 0.000 0.000 0.758
Hg: 0.333 0.667 0.406
Hg: 0.333 0.667 0.925
Hg: 0.667 0.333 0.075
Hg: 0.667 0.333 0.594

Which of them is most stable, and which least? Most stable: <Q>; least stable: <P>.

<P>
Computed, not measured: a geometry-optimized Li8Hg2Pt structure at the PBE level of DFT.

Its space-group type is Immm, No. 71. Its total magnetization is 0.000 μB per atom.

Unit cell a=7.595 b=7.595 c=7.595 alpha=145.86 beta=129.67 gamma=62.23
Sites, in units of the cell vectors:
Li: 0.138 0.363 0.775
Li: 0.157 0.157 0.000
Li: 0.269 0.000 0.269
Li: 0.412 0.637 0.775
Li: 0.588 0.363 0.225
Li: 0.731 0.000 0.731
Li: 0.843 0.843 0.000
Li: 0.862 0.637 0.225
Hg: 0.306 0.806 0.500
Hg: 0.694 0.194 0.500
Pt: 0.000 0.500 0.500

<Q>
Computed, not measured: a geometry-optimized Li8Hg2Pt structure at the PBE level of DFT.

Its space-group type is C2/m, No. 12. Its total magnetization is 0.000 μB per atom.

Unit cell a=7.431 b=7.431 c=6.397 alpha=106.35 beta=106.35 gamma=32.45
Sites, in units of the cell vectors:
Li: 0.034 0.034 0.251
Li: 0.138 0.138 0.671
Li: 0.332 0.332 0.594
Li: 0.405 0.405 0.076
Li: 0.595 0.595 0.924
Li: 0.668 0.668 0.406
Li: 0.862 0.862 0.329
Li: 0.966 0.966 0.749
Hg: 0.212 0.212 0.152
Hg: 0.788 0.788 0.848
Pt: 0.500 0.500 0.500

Which of them is most stable, and which least? Most stable: <Q>; least stable: <P>.

<P>
Computed, not measured: a geometry-optimized LiHgPt structure at the PBE level of DFT.

Its space-group type is P3m1, No. 156. Its total magnetization is 0.000 μB per atom.

Unit cell a=2.922 b=2.922 c=6.910 alpha=90.00 beta=90.00 gamma=120.00
Sites, in units of the cell vectors:
Li: 0.000 0.000 0.000
Hg: 0.333 0.667 0.655
Pt: 0.667 0.333 0.287

<Q>
Computed, not measured: a geometry-optimized LiHgPt structure at the PBE level of DFT.

Its space-group type is F-43m, No. 216. Its total magnetization is 0.000 μB per atom.

Unit cell a=4.457 b=4.457 c=4.457 alpha=60.00 beta=60.00 gamma=60.00
Sites, in units of the cell vectors:
Li: 0.000 0.000 0.000
Hg: 0.500 0.500 0.500
Pt: 0.250 0.250 0.250

<R>
Computed, not measured: a geometry-optimized LiHgPt structure at the PBE level of DFT.

Its space-group type is I4mm, No. 107. Its total magnetization is 0.000 μB per atom.

Unit cell a=5.367 b=5.367 c=5.367 alpha=145.94 beta=145.94 gamma=48.93
Sites, in units of the cell vectors:
Li: 0.000 0.000 0.000
Hg: 0.329 0.329 0.000
Pt: 0.636 0.636 0.000

<S>
Computed, not measured: a geometry-optimized LiHgPt structure at the PBE level of DFT.

Its space-group type is Imm2, No. 44. Its total magnetization is 0.000 μB per atom.

Unit cell a=4.978 b=4.978 c=4.978 alpha=145.76 beta=133.01 gamma=59.41
Sites, in units of the cell vectors:
Li: 0.000 0.000 0.000
Hg: 0.676 0.676 0.000
Pt: 0.351 0.351 0.000

Which of them is most stable, and which least? Most stable: <S>; least stable: <Q>.

<P>
Computed, not measured: a geometry-optimized LiHg2Pt2 structure at the PBE level of DFT.

Its space-group type is P4/mbm, No. 127. Its total magnetization is 0.000 μB per atom.

Unit cell a=6.860 b=6.860 c=4.009 alpha=90.00 beta=90.00 gamma=90.00
Sites, in units of the cell vectors:
Li: 0.000 0.000 0.000
Li: 0.500 0.500 0.000
Hg: 0.170 0.330 0.500
Hg: 0.330 0.830 0.500
Hg: 0.670 0.170 0.500
Hg: 0.830 0.670 0.500
Pt: 0.136 0.636 0.000
Pt: 0.364 0.136 0.000
Pt: 0.636 0.864 0.000
Pt: 0.864 0.364 0.000

<Q>
Computed, not measured: a geometry-optimized LiHg2Pt2 structure at the PBE level of DFT.

Its space-group type is P4/mbm, No. 127. Its total magnetization is 0.000 μB per atom.

Unit cell a=8.005 b=8.005 c=3.043 alpha=90.00 beta=90.00 gamma=90.00
Sites, in units of the cell vectors:
Li: 0.000 0.000 0.000
Li: 0.500 0.500 0.000
Hg: 0.172 0.328 0.000
Hg: 0.328 0.828 0.000
Hg: 0.672 0.172 0.000
Hg: 0.828 0.672 0.000
Pt: 0.127 0.627 0.500
Pt: 0.373 0.127 0.500
Pt: 0.627 0.873 0.500
Pt: 0.873 0.373 0.500

<R>
Computed, not measured: a geometry-optimized LiHg2Pt2 structure at the PBE level of DFT.

Its space-group type is I4/mmm, No. 139. Its total magnetization is 0.000 μB per atom.

Unit cell a=7.334 b=7.334 c=7.334 alpha=149.35 beta=149.35 gamma=43.90
Sites, in units of the cell vectors:
Li: 0.000 0.000 0.000
Hg: 0.399 0.399 0.000
Hg: 0.601 0.601 0.000
Pt: 0.250 0.750 0.500
Pt: 0.750 0.250 0.500

<S>
Computed, not measured: a geometry-optimized LiHg2Pt2 structure at the PBE level of DFT.

Its space-group type is I4/mmm, No. 139. Its total magnetization is 0.000 μB per atom.

Unit cell a=6.707 b=6.707 c=6.707 alpha=142.39 beta=142.39 gamma=54.24
Sites, in units of the cell vectors:
Li: 0.000 0.000 0.000
Hg: 0.250 0.750 0.500
Hg: 0.750 0.250 0.500
Pt: 0.396 0.396 0.000
Pt: 0.604 0.604 0.000

Which of them is most stable, and which least? Most stable: <P>; least stable: <S>.

<P>
Computed, not measured: a geometry-optimized Li8HgPt2 structure at the PBE level of DFT.

Its space-group type is Cmmm, No. 65. Its total magnetization is 0.000 μB per atom.

Unit cell a=6.736 b=6.736 c=4.240 alpha=90.00 beta=90.00 gamma=107.11
Sites, in units of the cell vectors:
Li: 0.154 0.154 0.000
Li: 0.181 0.467 0.500
Li: 0.241 0.759 0.000
Li: 0.467 0.181 0.500
Li: 0.533 0.819 0.500
Li: 0.759 0.241 0.000
Li: 0.819 0.533 0.500
Li: 0.846 0.846 0.000
Hg: 0.500 0.500 0.000
Pt: 0.122 0.878 0.500
Pt: 0.878 0.122 0.500

<Q>
Computed, not measured: a geometry-optimized Li8HgPt2 structure at the PBE level of DFT.

Its space-group type is C2/m, No. 12. Its total magnetization is 0.000 μB per atom.

Unit cell a=7.262 b=7.262 c=6.247 alpha=107.00 beta=107.00 gamma=33.06
Sites, in units of the cell vectors:
Li: 0.052 0.052 0.235
Li: 0.150 0.150 0.716
Li: 0.311 0.311 0.585
Li: 0.388 0.388 0.029
Li: 0.612 0.612 0.971
Li: 0.689 0.689 0.415
Li: 0.850 0.850 0.284
Li: 0.948 0.948 0.765
Hg: 0.500 0.500 0.500
Pt: 0.224 0.224 0.151
Pt: 0.776 0.776 0.849

Which of them is most stable, and which least? Most stable: <Q>; least stable: <P>.

<P>
Computed, not measured: a geometry-optimized SrLiHgPt structure at the PBE level of DFT.

Its space-group type is F-43m, No. 216. Its total magnetization is 0.000 μB per atom.

Unit cell a=5.099 b=5.099 c=5.099 alpha=60.00 beta=60.00 gamma=60.00
Sites, in units of the cell vectors:
Sr: 0.000 0.000 0.000
Li: 0.500 0.500 0.500
Hg: 0.250 0.250 0.250
Pt: 0.750 0.750 0.750

<Q>
Computed, not measured: a geometry-optimized SrLiHgPt structure at the PBE level of DFT.

Its space-group type is R3m, No. 160. Its total magnetization is 0.000 μB per atom.

Unit cell a=5.981 b=5.981 c=5.981 alpha=44.66 beta=44.66 gamma=44.66
Sites, in units of the cell vectors:
Sr: 0.000 0.000 0.000
Li: 0.479 0.479 0.479
Hg: 0.204 0.204 0.204
Pt: 0.790 0.790 0.790

Which of them is most stable, and which least? Most stable: <Q>; least stable: <P>.